Record 1
# PBE-GGA Sm2GaH, relaxed
# Energy above the most stable polymorph in this dataset = 161.1 meV/atom
data_Sm2GaH
_cell_length_a 3.6898
_cell_length_b 3.6898
_cell_length_c 21.9437
_cell_angle_alpha 90.00
_cell_angle_beta 90.00
_cell_angle_gamma 120.00
_symmetry_space_group_name_H-M 'R -3 m'
_symmetry_Int_Tables_number 166
_symmetry_space_group_name_Hall '-R 3 2"'
loop_
_atom_site_label
_atom_site_fract_x
_atom_site_fract_y
_atom_site_fract_z
Sm1 0.0000 0.0000 0.2327
Ga1 0.0000 0.0000 0.0000
H1 0.0000 0.0000 0.5000

Record 2
# PBE-GGA GaSnH2, relaxed
# Energy above the most stable polymorph in this dataset = 234.2 meV/atom
data_GaSnH2
_cell_length_a 5.9684
_cell_length_b 5.9684
_cell_length_c 5.9684
_cell_angle_alpha 90.00
_cell_angle_beta 90.00
_cell_angle_gamma 90.00
_symmetry_space_group_name_H-M 'F m -3 m'
_symmetry_Int_Tables_number 225
_symmetry_space_group_name_Hall '-F 4 2 3'
loop_
_atom_site_label
_atom_site_fract_x
_atom_site_fract_y
_atom_site_fract_z
Ga1 0.0000 0.0000 0.0000
Sn1 0.0000 0.0000 0.5000
H1 0.2500 0.2500 0.2500

Record 3
# PBE-GGA GaSnH3, relaxed
# Energy above the most stable polymorph in this dataset = 0.0 meV/atom
data_GaSnH3
_cell_length_a 3.8610
_cell_length_b 3.8610
_cell_length_c 3.8610
_cell_angle_alpha 90.00
_cell_angle_beta 90.00
_cell_angle_gamma 90.00
_symmetry_space_group_name_H-M 'P m -3 m'
_symmetry_Int_Tables_number 221
_symmetry_space_group_name_Hall '-P 4 2 3'
loop_
_atom_site_label
_atom_site_fract_x
_atom_site_fract_y
_atom_site_fract_z
Ga1 0.0000 0.0000 0.0000
Sn1 0.5000 0.5000 0.5000
H1 0.0000 0.0000 0.5000

Record 4
# PBE-GGA GaSnH2, relaxed
# Energy above the most stable polymorph in this dataset = 0.0 meV/atom
data_GaSnH2
_cell_length_a 5.5193
_cell_length_b 5.5193
_cell_length_c 7.8120
_cell_angle_alpha 90.00
_cell_angle_beta 90.00
_cell_angle_gamma 90.00
_symmetry_space_group_name_H-M 'I -4 2 d'
_symmetry_Int_Tables_number 122
_symmetry_space_group_name_Hall 'I -4 2bw'
loop_
_atom_site_label
_atom_site_fract_x
_atom_site_fract_y
_atom_site_fract_z
Ga1 0.0000 0.0000 0.0000
Sn1 0.0000 0.0000 0.5000
H1 0.0592 0.2500 0.1250

Record 5
# PBE-GGA Ga2SnH6, relaxed
# Calculated total energy = -2.854 eV/atom
data_Ga2SnH6
_cell_length_a 7.7126
_cell_length_b 7.7126
_cell_length_c 7.7126
_cell_angle_alpha 90.00
_cell_angle_beta 90.00
_cell_angle_gamma 90.00
_symmetry_space_group_name_H-M 'F m -3 m'
_symmetry_Int_Tables_number 225
_symmetry_space_group_name_Hall '-F 4 2 3'
loop_
_atom_site_label
_atom_site_fract_x
_atom_site_fract_y
_atom_site_fract_z
Ga1 0.2500 0.2500 0.2500
Sn1 0.0000 0.0000 0.0000
H1 0.0000 0.0000 0.2445

Record 6
# PBE-GGA GaSnH3, relaxed
# Energy above the most stable polymorph in this dataset = 13.8 meV/atom
data_GaSnH3
_cell_length_a 4.1095
_cell_length_b 4.1095
_cell_length_c 4.1095
_cell_angle_alpha 90.00
_cell_angle_beta 90.00
_cell_angle_gamma 90.00
_symmetry_space_group_name_H-M 'P m -3 m'
_symmetry_Int_Tables_number 221
_symmetry_space_group_name_Hall '-P 4 2 3'
loop_
_atom_site_label
_atom_site_fract_x
_atom_site_fract_y
_atom_site_fract_z
Ga1 0.0000 0.0000 0.0000
Sn1 0.5000 0.5000 0.5000
H1 0.0000 0.5000 0.5000

Record 7
# PBE-GGA GaSn3H, relaxed
# Energy above the most stable polymorph in this dataset = 0.0 meV/atom
data_GaSn3H
_cell_length_a 4.7625
_cell_length_b 4.7625
_cell_length_c 4.7625
_cell_angle_alpha 90.00
_cell_angle_beta 90.00
_cell_angle_gamma 90.00
_symmetry_space_group_name_H-M 'P m -3 m'
_symmetry_Int_Tables_number 221
_symmetry_space_group_name_Hall '-P 4 2 3'
loop_
_atom_site_label
_atom_site_fract_x
_atom_site_fract_y
_atom_site_fract_z
Ga1 0.0000 0.0000 0.0000
Sn1 0.0000 0.5000 0.5000
H1 0.5000 0.5000 0.5000

Record 8
# PBE-GGA GaSn3H, relaxed
# Energy above the most stable polymorph in this dataset = 614.8 meV/atom
data_GaSn3H
_cell_length_a 5.3826
_cell_length_b 5.3826
_cell_length_c 5.3826
_cell_angle_alpha 90.00
_cell_angle_beta 90.00
_cell_angle_gamma 90.00
_symmetry_space_group_name_H-M 'P m -3 m'
_symmetry_Int_Tables_number 221
_symmetry_space_group_name_Hall '-P 4 2 3'
loop_
_atom_site_label
_atom_site_fract_x
_atom_site_fract_y
_atom_site_fract_z
Ga1 0.0000 0.0000 0.0000
Sn1 0.0000 0.0000 0.5000
H1 0.5000 0.5000 0.5000

no.,size of the total moment (μB per cell)
1,0.00
2,0.00
3,0.00
4,0.00
5,0.00
6,0.00
7,0.00
8,0.34